No. 1
VASP calculation (GGA-PBEsol) on crystalline ScSi2Ag at its relaxed geometry.

a b c (Å): 2.8514 4.4957 5.0928
angles (deg): 90.00 90.00 90.00
Fractional positions:
Ag (0.0000, 0.0000, 0.5041)
Sc (0.5000, 0.5000, 0.2334)
Si (0.0000, 0.0000, 0.0100)
Si (0.0000, 0.5000, 0.7525)

Results
energy relative to the elements, uncorrected	-0.272	eV per atom
energy	-22.50	eV/cell
density of states at the Fermi level	0.539	states/eV/atom


No. 2
VASP calculation (GGA-PBEsol) on crystalline Sc2Si2Ag at its relaxed geometry.

a b c (Å): 3.9835 6.5836 6.5836
angles (deg): 90.00 90.00 90.00
Fractional positions:
Sc (0.5000, 0.1726, 0.6726)
Sc (0.5000, 0.6726, 0.8274)
Sc (0.5000, 0.8274, 0.3274)
Sc (0.5000, 0.3274, 0.1726)
Si (0.0000, 0.3737, 0.8737)
Si (0.0000, 0.8737, 0.6263)
Si (0.0000, 0.6263, 0.1263)
Si (0.0000, 0.1263, 0.3737)
Ag (0.0000, 0.0000, 0.0000)
Ag (0.0000, 0.5000, 0.5000)

Results
energy relative to the elements, uncorrected	-0.718	eV per atom
energy	-63.21	eV/cell
density of states at the Fermi level	0.535	states/eV/atom


No. 3
VASP calculation (GGA-PBEsol) on crystalline ScAgSn at its relaxed geometry.

a b c (Å): 4.2882 7.0543 7.0543
angles (deg): 120.00 90.00 90.00
Fractional positions:
Sc (0.5000, 0.0000, 0.5667)
Sc (0.5000, 0.4333, 0.4333)
Sc (0.5000, 0.5667, 0.0000)
Sn (0.5000, 0.0000, 0.0000)
Sn (0.0000, 0.6667, 0.3333)
Sn (0.0000, 0.3333, 0.6667)
Ag (0.0000, 0.0000, 0.2466)
Ag (0.0000, 0.7534, 0.7534)
Ag (0.0000, 0.2466, 0.0000)

Results
ΔE_f	-1.56	eV per formula unit
energy	-47.21	eV/cell
density of states at the Fermi level	0.188	states/eV/atom


No. 4
VASP calculation (GGA-PBEsol) on crystalline ScAgSn at its relaxed geometry.

a b c (Å): 7.0369 8.2331 8.2331
angles (deg): 63.30 64.70 64.70
Fractional positions:
Sc (0.2576, 0.9558, 0.4558)
Sc (0.6692, 0.0442, 0.5442)
Sc (0.7279, 0.5169, 0.0169)
Sc (0.2617, 0.4831, 0.9831)
Sc (0.8178, 0.2514, 0.7514)
Sc (0.8206, 0.7486, 0.2486)
Ag (0.4997, 0.5000, 0.5000)
Ag (0.4997, 0.0000, 0.0000)
Ag (0.2533, 0.9090, 0.8496)
Ag (0.0119, 0.0910, 0.1504)
Ag (0.0119, 0.6504, 0.5910)
Ag (0.2533, 0.3496, 0.4090)
Sn (0.2835, 0.7219, 0.2219)
Sn (0.2273, 0.2781, 0.7781)
Sn (0.5898, 0.6709, 0.6637)
Sn (0.9244, 0.3291, 0.3363)
Sn (0.9244, 0.8363, 0.8291)
Sn (0.5898, 0.1637, 0.1709)

Results
ΔE_f	-1.56	eV per formula unit
energy	-94.43	eV/cell
density of states at the Fermi level	0.202	states/eV/atom


No. 5
VASP calculation (GGA-PBEsol) on crystalline SrScAg2 at its relaxed geometry.

a b c (Å): 4.7759 4.7759 5.9045
angles (deg): 66.14 66.14 60.00
Fractional positions:
Ag (0.7027, 0.7027, 0.8918)
Ag (0.2973, 0.2973, 0.1082)
Sc (0.0000, 0.0000, 0.0000)
Sr (0.5000, 0.5000, 0.5000)

Results
ΔE_f	-0.63	eV per formula unit
energy	-15.70	eV/cell
polymorph energy (0 for the lowest one)	70	meV/atom
density of states at the Fermi level	0.869	states/eV/atom


No. 6
VASP calculation (GGA-PBEsol) on crystalline SrSc4Ag at its relaxed geometry.

a b c (Å): 6.0412 6.0412 6.0412
angles (deg): 60.00 60.00 60.00
Fractional positions:
Ag (0.0000, 0.0000, 0.0000)
Sc (0.3734, 0.3734, 0.3734)
Sc (0.3734, 0.3734, 0.8797)
Sc (0.8797, 0.3734, 0.3734)
Sc (0.3734, 0.8797, 0.3734)
Sr (0.7500, 0.7500, 0.7500)

Results
ΔE_f	2.37	eV per formula unit
energy	-29.20	eV/cell
density of states at the Fermi level	1.892	states/eV/atom